# 1
Below is a geometry-optimized Tb3HPbSe structure, with properties calculated at the PBE-GGA level.

## Properties
The calculation puts the total energy at -4.996 eV per atom. As for the space group: P2_1/m, No. 11.

```
Tb3HPbSe
1.0
8.257 0.000 0.000
0.000 4.211 0.000
-1.304 0.000 8.533
Tb H Pb Se
6 2 2 2
Direct
0.083 0.250 0.320 Tb
0.328 0.250 0.967 Tb
0.386 0.750 0.628 Tb
0.614 0.250 0.372 Tb
0.672 0.750 0.033 Tb
0.917 0.750 0.680 Tb
0.410 0.750 0.900 H
0.590 0.250 0.100 H
0.342 0.750 0.249 Pb
0.658 0.250 0.751 Pb
0.150 0.250 0.654 Se
0.850 0.750 0.346 Se
```



# 2
Below is a geometry-optimized Os3Rh structure, with properties calculated at the PBE-GGA level.

## Properties
The calculation puts the total energy at -10.209 eV per atom. As for the space group: Imm2, No. 44.

```
Os3Rh
1.0
2.748 0.000 0.000
0.000 8.720 0.000
0.000 0.000 4.762
Os Rh
6 2
Direct
0.000 0.000 0.000 Os
0.000 0.254 0.668 Os
0.000 0.746 0.668 Os
0.500 0.246 0.168 Os
0.500 0.500 0.500 Os
0.500 0.754 0.168 Os
0.000 0.500 0.004 Rh
0.500 0.000 0.504 Rh
```



# 3
Below is a geometry-optimized Tl3AgW structure, with properties calculated at the PBE-GGA level.

## Properties
The value obtained for the energy above the most stable polymorph in this dataset is 0 meV per atom. As for the space group: Pm-3m, No. 221.

```
Tl3AgW
1.0
5.398 0.000 0.000
0.000 5.398 0.000
0.000 0.000 5.398
Tl Ag W
3 1 1
Direct
0.000 0.000 0.500 Tl
0.000 0.500 0.000 Tl
0.500 0.000 0.000 Tl
0.500 0.500 0.500 Ag
0.000 0.000 0.000 W
```



# 4
Below is a geometry-optimized Mg7Si4 structure, with properties calculated at the PBE-GGA level.

## Properties
The value obtained for the energy above the most stable polymorph in this dataset is 15 meV per atom. For the raw formation energy, the calculation gives 0.032 eV/atom. As for the space group: P1, No. 1.

```
Mg7Si4
1.0
5.422 0.000 0.000
0.030 6.173 0.000
2.070 0.427 13.244
Mg Si
14 8
Direct
0.000 0.000 0.000 Mg
0.006 0.491 0.053 Mg
0.083 0.484 0.320 Mg
0.189 0.969 0.347 Mg
0.260 0.559 0.571 Mg
0.288 0.068 0.544 Mg
0.487 0.227 0.149 Mg
0.525 0.744 0.987 Mg
0.544 0.252 0.920 Mg
0.660 0.747 0.223 Mg
0.782 0.788 0.511 Mg
0.783 0.543 0.737 Mg
0.797 0.290 0.538 Mg
0.900 0.023 0.739 Mg
0.079 0.330 0.855 Si
0.155 0.715 0.852 Si
0.187 0.807 0.164 Si
0.416 0.236 0.719 Si
0.441 0.845 0.705 Si
0.549 0.467 0.389 Si
0.670 0.093 0.362 Si
0.969 0.156 0.195 Si
```



# 5
Below is a geometry-optimized HfSc2S4 structure, with properties calculated at the PBE-GGA level.

## Properties
For the raw formation energy, the calculation gives -1.815 eV/atom. As for the space group: Cmmm, No. 65.

```
HfSc2S4
1.0
7.417 0.000 0.000
0.000 10.278 0.000
0.000 0.000 3.635
Hf Sc S
2 4 8
Direct
0.000 0.000 0.000 Hf
0.500 0.500 0.000 Hf
0.250 0.250 0.500 Sc
0.250 0.750 0.500 Sc
0.750 0.250 0.500 Sc
0.750 0.750 0.500 Sc
0.000 0.253 0.000 S
0.000 0.747 0.000 S
0.246 0.000 0.500 S
0.254 0.500 0.500 S
0.500 0.247 0.000 S
0.500 0.753 0.000 S
0.746 0.500 0.500 S
0.754 0.000 0.500 S
```



# 6
Below is a geometry-optimized ZrTi2Pd structure, with properties calculated at the PBE-GGA level.

## Properties
The calculation puts the total energy at -7.359 eV per atom. As for the space group: I-42d, No. 122.

```
ZrTi2Pd
1.0
7.384 0.000 0.000
0.000 7.384 0.000
0.000 0.000 5.594
Zr Ti Pd
4 8 4
Direct
0.000 0.000 0.000 Zr
0.000 0.500 0.250 Zr
0.500 0.000 0.750 Zr
0.500 0.500 0.500 Zr
0.213 0.750 0.625 Ti
0.250 0.213 0.375 Ti
0.250 0.287 0.875 Ti
0.287 0.750 0.125 Ti
0.713 0.250 0.125 Ti
0.750 0.713 0.875 Ti
0.750 0.787 0.375 Ti
0.787 0.250 0.625 Ti
0.000 0.000 0.500 Pd
0.000 0.500 0.750 Pd
0.500 0.000 0.250 Pd
0.500 0.500 0.000 Pd
```